(1)
## Sc5Mn (GGA-PBE)

Data for an optimized crystal structure of Sc5Mn.

## Properties
Energy of formation ... 0.6185 eV per atom
SG ... No. 191
VASP energy ... -6.19 eV per atom
Distance to the lowest polymorph of the same formula ... 54.86 kJ per mole of atoms
Crystal system ... hexagonal
Volume ... 153.3 Å³/cell

Lattice parameters (Å, degrees): 5.791 5.791 5.277 90.00 90.00 120.00
Site moments in Bohr magnetons follow the coordinates.
Element x y z (fractional)
Sc 0.333 0.667 0.000  -0.32
Sc 0.500 0.500 0.500  -0.08
Sc 0.000 0.500 0.500  -0.08
Sc 0.500 0.000 0.500  -0.08
Sc 0.667 0.333 0.000  -0.32
Mn 0.000 0.000 0.000  4.08

---

(2)
## NbInH3 (GGA-PBE)

Data for an optimized crystal structure of NbInH3.

## Properties
SG ... No. 221
VASP energy ... -4.41 eV per atom
Distance to the lowest polymorph of the same formula ... 0.00 kJ per mole of atoms
Crystal system ... cubic
Volume ... 52.1 Å³/cell

Lattice parameters (Å, degrees): 3.734 3.734 3.734 90.00 90.00 90.00
Element x y z (fractional)
Nb 0.000 0.000 0.000
H 0.500 0.000 0.000
H 0.000 0.000 0.500
H 0.000 0.500 0.000
In 0.500 0.500 0.500

---

(3)
## HfBe2Cu2 (GGA-PBE)

Data for an optimized crystal structure of HfBe2Cu2.

## Properties
Energy of formation ... 0.0222 eV per atom
SG ... No. 127
VASP energy ... -5.10 eV per atom
Distance to the lowest polymorph of the same formula ... 7.28 kJ per mole of atoms
Crystal system ... tetragonal
Volume ... 124.6 Å³/cell

Lattice parameters (Å, degrees): 6.954 6.954 2.576 90.00 90.00 90.00
Element x y z (fractional)
Be 0.832 0.332 0.500
Be 0.668 0.832 0.500
Be 0.332 0.168 0.500
Be 0.168 0.668 0.500
Cu 0.374 0.874 0.000
Cu 0.874 0.626 0.000
Cu 0.626 0.126 0.000
Cu 0.126 0.374 0.000
Hf 0.500 0.500 0.000
Hf 0.000 0.000 0.000

---

(4)
## Ta2NbTe4Se2 (GGA-PBE)

Data for an optimized crystal structure of Ta2NbTe4Se2.

## Properties
Formation energy from raw total energies ... -46.9 kJ/mol of atoms
SG ... No. 156
VASP energy ... -6.41 eV per atom
Crystal system ... trigonal
Volume ... 251.8 Å³/cell

Lattice parameters (Å, degrees): 3.621 3.621 22.180 90.00 90.00 120.00
Site moments in Bohr magnetons follow the coordinates.
Element x y z (fractional)
Ta 0.667 0.333 0.648  0.25
Ta 0.000 0.000 0.982  0.26
Nb 0.000 0.000 0.329  0.54
Se 0.667 0.333 0.403  -0.01
Se 0.667 0.333 0.255  0.00
Te 0.000 0.000 0.732  0.01
Te 0.667 0.333 0.898  0.01
Te 0.000 0.000 0.564  0.02
Te 0.667 0.333 0.066  0.02

---

(5)
## NdHo2ThSc (GGA-PBE)

Data for an optimized crystal structure of NdHo2ThSc.

## Properties
Energy of formation ... 0.0519 eV per atom
SG ... No. 11
VASP energy ... -5.48 eV per atom
Crystal system ... monoclinic
Volume ... 311.2 Å³/cell

Lattice parameters (Å, degrees): 5.676 9.380 6.188 109.19 90.00 90.00
Element x y z (fractional)
Nd 0.250 0.692 0.264
Nd 0.750 0.308 0.736
Ho 0.250 0.103 0.460
Ho 0.250 0.303 0.077
Ho 0.750 0.897 0.540
Ho 0.750 0.697 0.923
Th 0.250 0.903 0.874
Th 0.750 0.097 0.126
Sc 0.250 0.508 0.660
Sc 0.750 0.492 0.340

---

(6)
## NpAl4Au2 (GGA-PBE)

Data for an optimized crystal structure of NpAl4Au2.

## Properties
Energy of formation ... -0.3393 eV per atom
SG ... No. 62
VASP energy ... -5.26 eV per atom
Crystal system ... orthorhombic
Volume ... 519.5 Å³/cell

Lattice parameters (Å, degrees): 4.374 6.848 17.345 90.00 90.00 90.00
Site moments in Bohr magnetons follow the coordinates.
Element x y z (fractional)
Al 0.250 0.019 0.931  -0.01
Al 0.250 0.228 0.190  -0.01
Al 0.750 0.842 0.464  -0.01
Al 0.250 0.679 0.686  -0.01
Al 0.750 0.321 0.314  -0.01
Al 0.750 0.658 0.964  -0.01
Al 0.250 0.158 0.536  -0.01
Al 0.750 0.519 0.569  -0.01
Al 0.250 0.481 0.431  -0.01
Al 0.750 0.981 0.069  -0.01
Al 0.250 0.342 0.036  -0.01
Al 0.250 0.272 0.690  -0.01
Al 0.750 0.772 0.810  -0.01
Al 0.750 0.179 0.814  -0.01
Al 0.250 0.821 0.186  -0.01
Al 0.750 0.728 0.310  -0.01
Np 0.750 0.991 0.637  3.87
Np 0.750 0.509 0.137  3.87
Np 0.250 0.009 0.363  3.87
Np 0.250 0.491 0.863  3.87
Au 0.750 0.248 0.463  -0.01
Au 0.250 0.752 0.537  -0.01
Au 0.250 0.748 0.037  -0.01
Au 0.750 0.028 0.216  -0.01
Au 0.750 0.472 0.716  -0.01
Au 0.250 0.972 0.784  -0.01
Au 0.250 0.528 0.284  -0.01
Au 0.750 0.252 0.963  -0.01

---

(7)
## La2SnGeI (GGA-PBE)

Data for an optimized crystal structure of La2SnGeI.

## Properties
Formation energy from raw total energies ... 29.6 kJ/mol of atoms
SG ... No. 123
VASP energy ... -3.70 eV per atom
Crystal system ... tetragonal
Volume ... 205.1 Å³/cell

Lattice parameters (Å, degrees): 5.973 5.750 5.973 90.00 90.00 90.00
Element x y z (fractional)
I 0.000 0.000 0.000
Ge 0.500 0.500 0.500
La 0.500 0.000 0.000
La 0.000 0.000 0.500
Sn 0.000 0.500 0.000

---

(8)
## SiSn2HgAs4 (GGA-PBE)

Data for an optimized crystal structure of SiSn2HgAs4.

## Properties
Formation energy from raw total energies ... 3.1 kJ/mol of atoms
SG ... No. 42
VASP energy ... -4.01 eV per atom
Crystal system ... orthorhombic
Volume ... 213.6 Å³/cell

Lattice parameters (Å, degrees): 6.692 6.692 6.437 114.10 114.10 102.39
Element x y z (fractional)
Sn 0.778 0.278 0.556
Sn 0.278 0.778 0.556
As 0.154 0.154 0.733
As 0.579 0.579 0.733
As 0.381 0.823 0.204
As 0.823 0.381 0.204
Si 0.529 0.529 0.058
Hg 0.979 0.979 0.957